Computed, not measured: a relaxed CsSbPd crystal at the PBE-GGA level of DFT.

Values from the calculation:
- V (Å³/atom) = 34.79
- DOS at the Fermi energy (states/eV/f.u.) = 2.0
- polymorph energy (0 for the lowest one) (kJ per mole of atoms) = 0.0
- space-group type = No. 12
- energy relative to the elements, uncorrected (eV/atom) = -0.45
- magnetic moment (μB/atom) = 0.0000

a b c (Å): 4.8933 4.8933 8.7559
angles (deg): 92.00 92.00 94.38
Last column: nearest neighbours and their distance in Å.
Sites, in units of the cell vectors:
Cs (0.2391, 0.2391, 0.3345)  2 Pd 3.58, 2 Sb 3.71-3.91
Cs (0.7609, 0.7609, 0.6655)  2 Pd 3.58, 2 Sb 3.71-3.91
Sb (0.2920, 0.2920, 0.8780)  4 Pd 2.70-2.72
Sb (0.7080, 0.7080, 0.1220)  4 Pd 2.70-2.72
Pd (0.2046, 0.7954, 0.0000)  4 Sb 2.70-2.72, 1 Pd 2.94
Pd (0.7954, 0.2046, 0.0000)  4 Sb 2.70-2.72, 1 Pd 2.94


Computed, not measured: a relaxed CsSb2Pd crystal at the PBE-GGA level of DFT.

Values from the calculation:
- V (Å³/atom) = 36.29
- DOS at the Fermi energy (states/eV/f.u.) = 2.0
- polymorph energy (0 for the lowest one) (kJ per mole of atoms) = 8.3
- space-group type = No. 15
- energy relative to the elements, uncorrected (eV/atom) = -0.32
- magnetic moment (μB/atom) = 0.0000

a b c (Å): 8.0808 8.0808 6.5680
angles (deg): 98.99 98.99 132.69
Last column: nearest neighbours and their distance in Å.
Sites, in units of the cell vectors:
Cs (0.0874, 0.9126, 0.7500)  10 Sb 3.94-4.22, 4 Pd 4.05-4.06, 2 Cs 4.18
Cs (0.9126, 0.0874, 0.2500)  10 Sb 3.94-4.22, 4 Pd 4.05-4.06, 2 Cs 4.18
Sb (0.2210, 0.5297, 0.8869)  2 Pd 2.63-2.64, 1 Sb 2.85
Sb (0.4703, 0.7790, 0.6131)  2 Pd 2.63-2.64, 1 Sb 2.85
Sb (0.5297, 0.2210, 0.3869)  2 Pd 2.63-2.64, 1 Sb 2.85
Sb (0.7790, 0.4703, 0.1131)  2 Pd 2.63-2.64, 1 Sb 2.85
Pd (0.2473, 0.7527, 0.2500)  4 Sb 2.63-2.64
Pd (0.7527, 0.2473, 0.7500)  4 Sb 2.63-2.64


Computed, not measured: a relaxed CsSb2Pd2 crystal at the PBE-GGA level of DFT.

Values from the calculation:
- V (Å³/atom) = 28.03
- DOS at the Fermi energy (states/eV/f.u.) = 2.7
- space-group type = No. 127
- energy relative to the elements, uncorrected (eV/atom) = -0.17
- magnetic moment (μB/atom) = 0.0000

a b c (Å): 9.2006 9.2006 3.3112
angles (deg): 90.00 90.00 90.00
Last column: nearest neighbours and their distance in Å.
Sites, in units of the cell vectors:
Cs (0.0000, 0.0000, 0.0000)  2 Cs 3.31, 4 Sb 3.62
Cs (0.5000, 0.5000, 0.0000)  2 Cs 3.31, 4 Sb 3.62
Sb (0.1275, 0.3725, 0.0000)  4 Pd 2.78
Sb (0.3725, 0.8725, 0.0000)  4 Pd 2.78
Sb (0.6275, 0.1275, 0.0000)  4 Pd 2.78
Sb (0.8725, 0.6275, 0.0000)  4 Pd 2.78
Pd (0.1149, 0.6149, 0.5000)  4 Sb 2.78, 1 Pd 2.99
Pd (0.3851, 0.1149, 0.5000)  4 Sb 2.78, 1 Pd 2.99
Pd (0.6149, 0.8851, 0.5000)  4 Sb 2.78, 1 Pd 2.99
Pd (0.8851, 0.3851, 0.5000)  4 Sb 2.78, 1 Pd 2.99


Computed, not measured: a relaxed CsSbPd crystal at the PBE-GGA level of DFT.

Values from the calculation:
- V (Å³/atom) = 31.56
- DOS at the Fermi energy (states/eV/f.u.) = 1.2
- polymorph energy (0 for the lowest one) (kJ per mole of atoms) = 12.2
- space-group type = No. 107
- energy relative to the elements, uncorrected (eV/atom) = -0.32
- magnetic moment (μB/atom) = 0.0000

a b c (Å): 7.2352 7.2352 7.2352
angles (deg): 149.96 149.96 43.00
Last column: nearest neighbours and their distance in Å.
Sites, in units of the cell vectors:
Cs (0.0000, 0.0000, 0.0000)  5 Pd 3.72-4.01, 4 Cs 3.75, 5 Sb 3.78-3.97
Sb (0.7193, 0.7193, 0.0000)  4 Pd 2.76
Pd (0.2761, 0.2761, 0.0000)  4 Sb 2.76


Computed, not measured: a relaxed Cs2SbPd2 crystal at the PBE-GGA level of DFT.

Values from the calculation:
- V (Å³/atom) = 30.63
- DOS at the Fermi energy (states/eV/f.u.) = 3.1
- polymorph energy (0 for the lowest one) (kJ per mole of atoms) = 23.5
- space-group type = No. 127
- energy relative to the elements, uncorrected (eV/atom) = -0.11
- magnetic moment (μB/atom) = 0.0000

a b c (Å): 7.1270 7.1270 6.0297
angles (deg): 90.00 90.00 90.00
Last column: nearest neighbours and their distance in Å.
Sites, in units of the cell vectors:
Cs (0.1805, 0.3195, 0.0000)  6 Pd 3.52-3.79, 5 Cs 3.64-3.70
Cs (0.3195, 0.8195, 0.0000)  6 Pd 3.52-3.79, 5 Cs 3.64-3.70
Cs (0.6805, 0.1805, 0.0000)  6 Pd 3.52-3.79, 5 Cs 3.64-3.70
Cs (0.8195, 0.6805, 0.0000)  6 Pd 3.52-3.79, 5 Cs 3.64-3.70
Sb (0.0000, 0.0000, 0.5000)  4 Pd 2.76
Sb (0.5000, 0.5000, 0.5000)  4 Pd 2.76
Pd (0.1387, 0.6387, 0.5000)  2 Sb 2.76, 1 Pd 2.80
Pd (0.3613, 0.1387, 0.5000)  2 Sb 2.76, 1 Pd 2.80
Pd (0.6387, 0.8613, 0.5000)  2 Sb 2.76, 1 Pd 2.80
Pd (0.8613, 0.3613, 0.5000)  2 Sb 2.76, 1 Pd 2.80


Computed, not measured: a relaxed Cs2Sb7Pd12 crystal at the PBE-GGA level of DFT.

Values from the calculation:
- V (Å³/atom) = 21.46
- DOS at the Fermi energy (states/eV/f.u.) = 9.5
- space-group type = No. 147
- energy relative to the elements, uncorrected (eV/atom) = -0.38
- magnetic moment (μB/atom) = 0.0000

a b c (Å): 10.8583 10.8583 4.4129
angles (deg): 90.00 90.00 120.00
Last column: nearest neighbours and their distance in Å.
Sites, in units of the cell vectors:
Cs (0.3333, 0.6667, 0.2390)  12 Pd 3.52-3.93, 6 Sb 3.54-3.58
Cs (0.6667, 0.3333, 0.7610)  12 Pd 3.52-3.93, 6 Sb 3.54-3.58
Sb (0.0000, 0.0000, 0.5000)  6 Pd 2.66
Sb (0.0993, 0.7080, 0.7311)  7 Pd 2.67-2.85
Sb (0.2920, 0.3913, 0.7311)  7 Pd 2.67-2.85
Sb (0.3913, 0.0993, 0.2689)  7 Pd 2.67-2.85
Sb (0.6087, 0.9007, 0.7311)  7 Pd 2.67-2.85
Sb (0.7080, 0.6087, 0.2689)  7 Pd 2.67-2.85
Sb (0.9007, 0.2920, 0.2689)  7 Pd 2.67-2.85
Pd (0.0539, 0.4324, 0.7615)  4 Sb 2.70-2.84, 1 Pd 2.94
Pd (0.1217, 0.2492, 0.2146)  4 Sb 2.66-2.85, 1 Pd 2.94
Pd (0.1275, 0.8783, 0.2146)  4 Sb 2.66-2.85, 1 Pd 2.94
Pd (0.2492, 0.1275, 0.7854)  4 Sb 2.66-2.85, 1 Pd 2.94
Pd (0.3785, 0.9461, 0.7615)  4 Sb 2.70-2.84, 1 Pd 2.94
Pd (0.4324, 0.3785, 0.2385)  4 Sb 2.70-2.84, 1 Pd 2.94
Pd (0.5676, 0.6215, 0.7615)  4 Sb 2.70-2.84, 1 Pd 2.94
Pd (0.6215, 0.0539, 0.2385)  4 Sb 2.70-2.84, 1 Pd 2.94
Pd (0.7508, 0.8725, 0.2146)  4 Sb 2.66-2.85, 1 Pd 2.94
Pd (0.8725, 0.1217, 0.7854)  4 Sb 2.66-2.85, 1 Pd 2.94
Pd (0.8783, 0.7508, 0.7854)  4 Sb 2.66-2.85, 1 Pd 2.94
Pd (0.9461, 0.5676, 0.2385)  4 Sb 2.70-2.84, 1 Pd 2.94


Computed, not measured: a relaxed CsSbPd2 crystal at the PBE-GGA level of DFT.

Values from the calculation:
- V (Å³/atom) = 34.77
- DOS at the Fermi energy (states/eV/f.u.) = 1.1
- space-group type = No. 122
- energy relative to the elements, uncorrected (eV/atom) = -0.02
- magnetic moment (μB/atom) = 0.0000

a b c (Å): 7.1225 7.1225 7.1225
angles (deg): 109.82 109.82 108.78
Last column: nearest neighbours and their distance in Å.
Sites, in units of the cell vectors:
Cs (0.0000, 0.0000, 0.0000)  8 Pd 3.77-3.88, 2 Sb 4.15
Cs (0.7500, 0.2500, 0.5000)  8 Pd 3.77-3.88, 2 Sb 4.15
Sb (0.2500, 0.7500, 0.5000)  4 Pd 2.55
Sb (0.5000, 0.5000, 0.0000)  4 Pd 2.55
Pd (0.2400, 0.6250, 0.1150)  2 Sb 2.55
Pd (0.3750, 0.4900, 0.6150)  2 Sb 2.55
Pd (0.5100, 0.1250, 0.8850)  2 Sb 2.55
Pd (0.8750, 0.7600, 0.3850)  2 Sb 2.55


Computed, not measured: a relaxed CsSbPd crystal at the PBE-GGA level of DFT.

Values from the calculation:
- V (Å³/atom) = 36.26
- DOS at the Fermi energy (states/eV/f.u.) = 3.6
- polymorph energy (0 for the lowest one) (kJ per mole of atoms) = 13.1
- space-group type = No. 187
- energy relative to the elements, uncorrected (eV/atom) = -0.31
- magnetic moment (μB/atom) = 0.0004

a b c (Å): 4.5252 4.5252 6.1341
angles (deg): 90.00 90.00 120.00
Last column: nearest neighbours and their distance in Å.
Sites, in units of the cell vectors:
Cs (0.0000, 0.0000, 0.0000)  6 Sb 4.03, 6 Pd 4.03
Sb (0.6667, 0.3333, 0.5000)  3 Pd 2.61
Pd (0.3333, 0.6667, 0.5000)  3 Sb 2.61


Computed, not measured: a relaxed CsSb2Pd crystal at the PBE-GGA level of DFT.

Values from the calculation:
- V (Å³/atom) = 28.03
- DOS at the Fermi energy (states/eV/f.u.) = 2.7
- polymorph energy (0 for the lowest one) (kJ per mole of atoms) = 72.8
- space-group type = No. 225
- energy relative to the elements, uncorrected (eV/atom) = 0.35
- magnetic moment (μB/atom) = 0.0000

a b c (Å): 5.4125 5.4125 5.4125
angles (deg): 60.00 60.00 60.00
Last column: nearest neighbours and their distance in Å.
Sites, in units of the cell vectors:
Cs (0.0000, 0.0000, 0.0000)  8 Sb 3.31
Sb (0.2500, 0.2500, 0.2500)  4 Pd 3.31, 4 Cs 3.31
Sb (0.7500, 0.7500, 0.7500)  4 Pd 3.31, 4 Cs 3.31
Pd (0.5000, 0.5000, 0.5000)  8 Sb 3.31


Computed, not measured: a relaxed CsSb2Pd2 crystal at the PBE-GGA level of DFT.

Values from the calculation:
- V (Å³/atom) = 30.10
- DOS at the Fermi energy (states/eV/f.u.) = 1.6
- space-group type = No. 2
- energy relative to the elements, uncorrected (eV/atom) = -0.44
- magnetic moment (μB/atom) = 0.0000

a b c (Å): 6.9336 6.9356 7.7980
angles (deg): 104.44 107.08 112.81
Last column: nearest neighbours and their distance in Å.
Sites, in units of the cell vectors:
Cs (0.1343, 0.3841, 0.2497)  4 Pd 3.58-3.84
Cs (0.8657, 0.6159, 0.7503)  4 Pd 3.58-3.84
Sb (0.1979, 0.2299, 0.7183)  4 Pd 2.65-2.73
Sb (0.4893, 0.0207, 0.2186)  4 Pd 2.65-2.73
Sb (0.5107, 0.9793, 0.7814)  4 Pd 2.65-2.73
Sb (0.8021, 0.7701, 0.2817)  4 Pd 2.65-2.73
Pd (0.2637, 0.9673, 0.4405)  4 Sb 2.65-2.73, 1 Pd 2.94
Pd (0.4724, 0.6768, 0.9410)  4 Sb 2.65-2.73, 1 Pd 2.94
Pd (0.5276, 0.3232, 0.0590)  4 Sb 2.65-2.73, 1 Pd 2.94
Pd (0.7363, 0.0327, 0.5595)  4 Sb 2.65-2.73, 1 Pd 2.94